# 1
A plane-wave DFT calculation with meta-GGA SCAN was carried out for a crystal of Y3Sc2Ga3O12 relaxed with PBEsol.

The structure in CIF format:
```
data_Y3Sc2Ga3O12
_cell_length_a 10.770
_cell_length_b 10.770
_cell_length_c 10.770
_cell_angle_alpha 109.47
_cell_angle_beta 109.47
_cell_angle_gamma 109.47
_space_group_name_H-M_alt 'P 1'
_space_group_IT_number 1
_space_group_name_Hall 'P 1'
loop_
_atom_site_label
_atom_site_fract_x
_atom_site_fract_y
_atom_site_fract_z
Y1 0.125 0.250 0.375
Y2 0.125 0.375 0.750
Y3 0.250 0.375 0.125
Y4 0.250 0.875 0.625
Y5 0.375 0.125 0.250
Y6 0.375 0.750 0.125
Y7 0.625 0.250 0.875
Y8 0.625 0.875 0.750
Y9 0.750 0.125 0.375
Y10 0.750 0.625 0.875
Y11 0.875 0.625 0.250
Y12 0.875 0.750 0.625
Sc1 0.000 0.000 0.000
Sc2 0.000 0.000 0.500
Sc3 0.000 0.500 0.000
Sc4 0.000 0.500 0.500
Sc5 0.500 0.000 0.000
Sc6 0.500 0.000 0.500
Sc7 0.500 0.500 0.000
Sc8 0.500 0.500 0.500
Ga1 0.125 0.750 0.875
Ga2 0.125 0.875 0.250
Ga3 0.250 0.125 0.875
Ga4 0.250 0.625 0.375
Ga5 0.375 0.250 0.625
Ga6 0.375 0.625 0.750
Ga7 0.625 0.375 0.250
Ga8 0.625 0.750 0.375
Ga9 0.750 0.375 0.625
Ga10 0.750 0.875 0.125
Ga11 0.875 0.125 0.750
Ga12 0.875 0.250 0.125
O1 0.032 0.214 0.127
O2 0.032 0.318 0.905
O3 0.087 0.714 0.682
O4 0.087 0.873 0.405
O5 0.095 0.627 0.413
O6 0.095 0.968 0.682
O7 0.127 0.032 0.214
O8 0.127 0.595 0.913
O9 0.182 0.214 0.587
O10 0.182 0.468 0.595
O11 0.214 0.127 0.032
O12 0.214 0.587 0.182
O13 0.286 0.318 0.913
O14 0.286 0.468 0.373
O15 0.318 0.905 0.032
O16 0.318 0.913 0.286
O17 0.373 0.286 0.468
O18 0.373 0.587 0.905
O19 0.405 0.087 0.873
O20 0.405 0.818 0.532
O21 0.413 0.095 0.627
O22 0.413 0.818 0.786
O23 0.468 0.373 0.286
O24 0.468 0.595 0.182
O25 0.532 0.405 0.818
O26 0.532 0.627 0.714
O27 0.587 0.182 0.214
O28 0.587 0.905 0.373
O29 0.595 0.182 0.468
O30 0.595 0.913 0.127
O31 0.627 0.413 0.095
O32 0.627 0.714 0.532
O33 0.682 0.087 0.714
O34 0.682 0.095 0.968
O35 0.714 0.532 0.627
O36 0.714 0.682 0.087
O37 0.786 0.413 0.818
O38 0.786 0.873 0.968
O39 0.818 0.532 0.405
O40 0.818 0.786 0.413
O41 0.873 0.405 0.087
O42 0.873 0.968 0.786
O43 0.905 0.032 0.318
O44 0.905 0.373 0.587
O45 0.913 0.127 0.595
O46 0.913 0.286 0.318
O47 0.968 0.682 0.095
O48 0.968 0.786 0.873
```

Properties
**VASP energy**: -0.554 Ha/atom
**SG**: Ia-3d, No. 230
**Size of the total moment**: 0.00 μB/atom
**Mass density**: 5.2 g/cm3


# 2
A plane-wave DFT calculation with meta-GGA SCAN was carried out for a crystal of Ga2Se2O7 relaxed with PBEsol.

The structure in CIF format:
```
data_Ga2Se2O7
_cell_length_a 6.595
_cell_length_b 12.646
_cell_length_c 13.386
_cell_angle_alpha 90.00
_cell_angle_beta 90.00
_cell_angle_gamma 90.00
_space_group_name_H-M_alt 'P 1'
_space_group_IT_number 1
_space_group_name_Hall 'P 1'
loop_
_atom_site_label
_atom_site_fract_x
_atom_site_fract_y
_atom_site_fract_z
Ga1 0.027 0.122 0.027
Ga2 0.027 0.378 0.527
Ga3 0.250 0.250 0.206
Ga4 0.250 0.250 0.706
Ga5 0.250 0.750 0.333
Ga6 0.250 0.750 0.833
Ga7 0.473 0.122 0.527
Ga8 0.473 0.378 0.027
Ga9 0.527 0.622 0.973
Ga10 0.527 0.878 0.473
Ga11 0.750 0.250 0.167
Ga12 0.750 0.250 0.667
Ga13 0.750 0.750 0.294
Ga14 0.750 0.750 0.794
Ga15 0.973 0.622 0.473
Ga16 0.973 0.878 0.973
Se1 0.008 0.550 0.719
Se2 0.008 0.950 0.219
Se3 0.021 0.633 0.037
Se4 0.021 0.867 0.537
Se5 0.479 0.633 0.537
Se6 0.479 0.867 0.037
Se7 0.492 0.550 0.219
Se8 0.492 0.950 0.719
Se9 0.508 0.050 0.281
Se10 0.508 0.450 0.781
Se11 0.521 0.133 0.963
Se12 0.521 0.367 0.463
Se13 0.979 0.133 0.463
Se14 0.979 0.367 0.963
Se15 0.992 0.050 0.781
Se16 0.992 0.450 0.281
O1 0.014 0.524 0.589
O2 0.014 0.976 0.089
O3 0.016 0.237 0.934
O4 0.016 0.263 0.434
O5 0.018 0.204 0.147
O6 0.018 0.296 0.647
O7 0.176 0.105 0.544
O8 0.176 0.395 0.044
O9 0.201 0.638 0.731
O10 0.201 0.862 0.231
O11 0.209 0.126 0.780
O12 0.209 0.374 0.280
O13 0.215 0.635 0.947
O14 0.215 0.865 0.447
O15 0.285 0.635 0.447
O16 0.285 0.865 0.947
O17 0.291 0.126 0.280
O18 0.291 0.374 0.780
O19 0.299 0.638 0.231
O20 0.299 0.862 0.731
O21 0.324 0.105 0.044
O22 0.324 0.395 0.544
O23 0.482 0.204 0.647
O24 0.482 0.296 0.147
O25 0.484 0.237 0.434
O26 0.484 0.263 0.934
O27 0.486 0.524 0.089
O28 0.486 0.976 0.589
O29 0.514 0.024 0.411
O30 0.514 0.476 0.911
O31 0.516 0.737 0.066
O32 0.516 0.763 0.566
O33 0.518 0.704 0.853
O34 0.518 0.796 0.353
O35 0.676 0.605 0.456
O36 0.676 0.895 0.956
O37 0.701 0.138 0.269
O38 0.701 0.362 0.769
O39 0.709 0.626 0.220
O40 0.709 0.874 0.720
O41 0.715 0.135 0.053
O42 0.715 0.365 0.553
O43 0.785 0.135 0.553
O44 0.785 0.365 0.053
O45 0.791 0.626 0.720
O46 0.791 0.874 0.220
O47 0.799 0.138 0.769
O48 0.799 0.362 0.269
O49 0.824 0.605 0.956
O50 0.824 0.895 0.456
O51 0.982 0.704 0.353
O52 0.982 0.796 0.853
O53 0.984 0.737 0.566
O54 0.984 0.763 0.066
O55 0.986 0.024 0.911
O56 0.986 0.476 0.411
```

Properties
**VASP energy**: -0.441 Ha/atom
**SG**: Pccn, No. 56
**Size of the total moment**: 0.00 μB/atom
**Mass density**: 4.9 g/cm3


# 3
A plane-wave DFT calculation with meta-GGA SCAN was carried out for a crystal of YGa2SeO relaxed with PBEsol.

The structure in CIF format:
```
data_YGa2SeO
_cell_length_a 5.730
_cell_length_b 5.730
_cell_length_c 5.168
_cell_angle_alpha 90.00
_cell_angle_beta 90.00
_cell_angle_gamma 90.00
_space_group_name_H-M_alt 'P 1'
_space_group_IT_number 1
_space_group_name_Hall 'P 1'
loop_
_atom_site_label
_atom_site_fract_x
_atom_site_fract_y
_atom_site_fract_z
Y1 0.000 0.000 0.000
Ga1 0.000 0.500 0.000
Ga2 0.500 0.000 0.000
Se1 0.000 0.000 0.500
O1 0.500 0.500 0.500
```

Properties
**VASP energy**: -0.618 Ha/atom
**SG**: P4/mmm, No. 123
**Size of the total moment**: 0.31 μB/atom
**Mass density**: 3.2 g/cm3


# 4
A plane-wave DFT calculation with meta-GGA SCAN was carried out for a crystal of GaSiO2 relaxed with PBEsol.

The structure in CIF format:
```
data_GaSiO2
_cell_length_a 9.728
_cell_length_b 9.728
_cell_length_c 9.728
_cell_angle_alpha 15.87
_cell_angle_beta 15.87
_cell_angle_gamma 15.87
_space_group_name_H-M_alt 'P 1'
_space_group_IT_number 1
_space_group_name_Hall 'P 1'
loop_
_atom_site_label
_atom_site_fract_x
_atom_site_fract_y
_atom_site_fract_z
Ga1 0.000 0.000 0.000
Si1 0.500 0.500 0.500
O1 0.135 0.135 0.135
O2 0.865 0.865 0.865
```

Properties
**VASP energy**: -0.427 Ha/atom
**SG**: R-3m, No. 166
**Size of the total moment**: 0.00 μB/atom
**Mass density**: 3.6 g/cm3